[1]
## TlFe2S (GGA-PBE)

Data for a relaxed TlFe2S crystal.

As for the density of states at the Fermi level: 11.46 states/eV per cell. For the formation energy from raw total energies, the calculation gives 0.402 eV/atom. The energy above the most stable polymorph in this dataset comes out at 0.000 eV/atom. Its electronic total energy is -5.452 eV per atom.

It has space group I-42d (No. 122), with a = 6.5407 Å, b = 6.5407 Å, c = 5.9298 Å, α = 90.00°, β = 90.00° and γ = 90.00°. The inequivalent atoms are Tl at (0.0000, 0.0000, 0.0000), Fe at (0.1594, 0.2500, 0.6250) and S at (0.0000, 0.0000, 0.5000).


[2]
## SmSc3Ga2 (GGA-PBE)

Data for a relaxed SmSc3Ga2 crystal.

As for the density of states at the Fermi level: 11.91 states/eV per cell. The formation energy from the elements comes out at -0.442 eV/atom. The energy above the most stable polymorph in this dataset comes out at 0.000 eV/atom. Its electronic total energy is -5.403 eV per atom.

It has space group Pmc2_1 (No. 26), with a = 4.6415 Å, b = 9.1519 Å, c = 6.3460 Å, α = 90.00°, β = 90.00° and γ = 90.00°. The inequivalent atoms are Sm at (0.0000, 0.0494, 0.0000), Sc at (0.0000, 0.3212, 0.6129), Sc at (0.5000, 0.2031, 0.2842), Sc at (0.5000, 0.4493, 0.9042), Ga at (0.0000, 0.3740, 0.1654) and Ga at (0.5000, 0.1428, 0.7276).


[3]
## CuSn2TeIr (GGA-PBE)

Data for a relaxed CuSn2TeIr crystal.

As for the density of states at the Fermi level: 5.06 states/eV per cell. For the formation energy from raw total energies, the calculation gives 0.526 eV/atom. Its electronic total energy is -4.295 eV per atom.

It has space group P4/mmm (No. 123), with a = 5.0532 Å, b = 5.0532 Å, c = 5.5591 Å, α = 90.00°, β = 90.00° and γ = 90.00°. The inequivalent atoms are Cu at (0.0000, 0.0000, 0.0000), Sn at (0.0000, 0.5000, 0.5000), Te at (0.5000, 0.5000, 0.0000) and Ir at (0.5000, 0.5000, 0.5000).


[4]
## RbTbHo4Se8 (GGA-PBE)

Data for a relaxed RbTbHo4Se8 crystal.

As for the density of states at the Fermi level: 0.00 states/eV per cell. For the formation energy from raw total energies, the calculation gives -1.714 eV/atom. Its electronic total energy is -5.413 eV per atom.

It has space group R3m (No. 160, hexagonal axes), with a = 8.5982 Å, b = 8.5982 Å, c = 21.2236 Å, α = 90.00°, β = 90.00° and γ = 120.00°. The inequivalent atoms are Rb at (0.0000, 0.0000, 0.0000), Tb at (0.0000, 0.0000, 0.3678), Ho at (0.0000, 0.0000, 0.7478), Ho at (0.0124, 0.5062, 0.8747), Se at (0.0000, 0.0000, 0.1417), Se at (0.0000, 0.0000, 0.6159), Se at (0.0185, 0.5093, 0.1257) and Se at (0.1896, 0.3792, 0.9494).


[5]
## RbTmCoCl6 (GGA-PBE)

Data for a relaxed RbTmCoCl6 crystal.

As for the density of states at the Fermi level: 1.22 states/eV per cell. For the formation energy from raw total energies, the calculation gives -1.647 eV/atom. Its electronic total energy is -4.272 eV per atom.

It has space group C2 (No. 5), with a = 6.6172 Å, b = 11.4889 Å, c = 7.4012 Å, α = 90.00°, β = 90.23° and γ = 90.00°. The inequivalent atoms are Rb at (0.0000, 0.0000, 0.0000), Tm at (0.0000, 0.6664, 0.5000), Co at (0.0000, 0.3330, 0.5000), Cl at (0.1202, 0.4919, 0.6992), Cl at (0.1742, 0.1913, 0.6955) and Cl at (0.1990, 0.8176, 0.6959).


[6]
## La2Pr5Y4 (GGA-PBE)

Data for a relaxed La2Pr5Y4 crystal.

As for the density of states at the Fermi level: 33.24 states/eV per cell. The formation energy from the elements comes out at 0.170 eV/atom. The energy above the most stable polymorph in this dataset comes out at 0.109 eV/atom. Its electronic total energy is -5.249 eV per atom.

It has space group Immm (No. 71), with a = 3.5841 Å, b = 9.3371 Å, c = 23.9312 Å, α = 90.00°, β = 90.00° and γ = 90.00°. The inequivalent atoms are La at (0.0000, 0.0000, 0.2340), Pr at (0.0000, 0.1950, 0.3578), Pr at (0.0000, 0.5000, 0.0000), Y at (0.0000, 0.0000, 0.0981) and Y at (0.0000, 0.3159, 0.5000).


[7]
## AlTlInSe3 (GGA-PBE)

Data for a relaxed AlTlInSe3 crystal.

As for the density of states at the Fermi level: 3.40 states/eV per cell. For the formation energy from raw total energies, the calculation gives -0.539 eV/atom. Its electronic total energy is -3.756 eV per atom.

It has space group P2_1/m (No. 11), with a = 9.3178 Å, b = 4.0062 Å, c = 10.1916 Å, α = 90.00°, β = 103.66° and γ = 90.00°. The inequivalent atoms are Al at (0.0788, 0.2500, 0.1201), Tl at (0.2045, 0.2500, 0.7040), In at (0.3510, 0.7500, 0.3846), Se at (0.1060, 0.2500, 0.3533), Se at (0.1768, 0.7500, 0.0221) and Se at (0.4505, 0.7500, 0.6658).


[8]
## Sr3Li4Sn4 (GGA-PBE)

Data for a relaxed Sr3Li4Sn4 crystal.

As for the density of states at the Fermi level: 5.40 states/eV per cell. The formation energy from the elements comes out at -0.489 eV/atom. The energy above the most stable polymorph in this dataset comes out at 0.004 eV/atom. Its electronic total energy is -3.099 eV per atom.

It has space group P-1 (No. 2), with a = 3.8882 Å, b = 5.0259 Å, c = 15.7301 Å, α = 80.83°, β = 82.94° and γ = 89.98°. The inequivalent atoms are Sr at (0.0000, 0.0000, 0.0000), Sr at (0.1473, 0.6468, 0.7061), Li at (0.2561, 0.2565, 0.4868), Li at (0.4051, 0.9052, 0.1903), Sn at (0.3129, 0.8131, 0.3741) and Sn at (0.4498, 0.4506, 0.0993).